KPt2Au2: optimized geometry, PBE.

Structure (POSCAR):
```
KPt2Au2
1.0
4.050 0.000 0.000
0.000 4.050 0.000
2.025 2.025 6.528
K Au Pt
1 2 2
direct
0.000 0.000 0.000
0.396 0.396 0.209
0.604 0.604 0.791
0.750 0.250 0.500
0.250 0.750 0.500
```

Calculated values
Calculated total energy = -3.8247 eV per atom
Magnetization = 0.0 μB/f.u.
SG = I4/mmm, No. 139



KPtAu2: optimized geometry, PBE.

Structure (POSCAR):
```
KPtAu2
1.0
-0.515 -4.040 2.687
0.017 -4.379 -2.151
3.787 -3.011 0.628
Au K Pt
2 1 1
direct
0.000 0.000 0.000
0.250 0.250 0.250
0.500 0.500 0.500
0.750 0.750 0.750
```

Calculated values
Calculated total energy = -3.1058 eV per atom
Magnetization = 0.0 μB/f.u.
SG = F-43m, No. 216



KPtAu2: optimized geometry, PBE.

Structure (POSCAR):
```
KPtAu2
1.0
-2.513 1.051 0.787
-2.408 -2.800 -3.949
-0.672 -4.074 3.297
Au K Pt
2 1 1
direct
0.000 0.000 0.000
0.500 0.500 0.000
0.500 0.000 0.500
0.000 0.500 0.500
```

Calculated values
Calculated total energy = -3.2360 eV per atom
Magnetization = 0.0 μB/f.u.
SG = Pmmm, No. 47



KPtAu2: optimized geometry, PBE.

Structure (POSCAR):
```
KPtAu2
1.0
5.427 -0.019 0.000
2.148 4.984 0.000
-3.788 -2.483 2.991
Au K Pt
2 1 1
direct
0.000 0.000 0.000
0.250 0.750 0.500
0.500 0.500 0.000
0.750 0.250 0.500
```

Calculated values
Calculated total energy = -3.2052 eV per atom
Magnetization = 0.0 μB/f.u.
SG = I-4m2, No. 119



KPt2Au2: optimized geometry, PBE.

Structure (POSCAR):
```
KPt2Au2
1.0
-0.942 0.011 -4.621
-1.117 -4.577 0.216
-5.922 -1.041 -1.202
K Au Pt
1 2 2
direct
0.000 0.000 0.000
0.750 0.250 0.500
0.250 0.750 0.500
0.379 0.379 0.242
0.621 0.621 0.758
```

Calculated values
Calculated total energy = -3.8480 eV per atom
Magnetization = 0.0 μB/f.u.
SG = I4/mmm, No. 139



KPtAu2: optimized geometry, PBE.

Structure (POSCAR):
```
KPtAu2
1.0
3.382 0.015 0.000
-0.015 3.382 0.000
0.000 0.000 7.813
Au K Pt
2 1 1
direct
0.000 0.000 0.938
0.000 0.000 0.562
0.500 0.500 0.250
0.500 0.500 0.750
```

Calculated values
Calculated total energy = -3.3467 eV per atom
Magnetization = 0.0 μB/f.u.
SG = P4/mmm, No. 123



What is the magnetization in the third record? 0.0 μB/f.u.